DFT (PBE-GGA) results for a relaxed Cu2NiP crystal.

The structure belongs to space group Immm (No. 71); the cell edges are 3.3557, 3.5845 and 7.7336 Å and the angles 90.00°, 90.00° and 90.00°. The asymmetric unit holds Cu at (0.0000, 0.0000, 0.2406), Ni at (0.0000, 0.5000, 0.0000) and P at (0.0000, 0.5000, 0.5000).

The value obtained for the magnetic moment is 0.0 μB per cell. Its crystal system is orthorhombic. For the formation energy, the calculation gives -0.042 eV per atom.



DFT (PBE-GGA) results for a relaxed CuNiP2 crystal.

The structure belongs to space group Imm2 (No. 44); the cell edges are 3.1777, 3.3904 and 10.0314 Å and the angles 90.00°, 90.00° and 90.00°. The asymmetric unit holds Cu at (0.0000, 0.0000, 0.0000), Ni at (0.0000, 0.5000, 0.7780), P at (0.0000, 0.0000, 0.6248) and P at (0.0000, 0.5000, 0.3189).

The value obtained for the magnetic moment is 0.0 μB per cell. Its crystal system is orthorhombic. For the formation energy, the calculation gives 0.083 eV per atom.



DFT (PBE-GGA) results for a relaxed CuNi2P crystal.

The structure belongs to space group Pmmm (No. 47); the cell edges are 2.7576, 2.8221 and 5.8449 Å and the angles 90.00°, 90.00° and 90.00°. The asymmetric unit holds Cu at (0.0000, 0.0000, 0.0000), Ni at (0.5000, 0.5000, 0.2811) and P at (0.0000, 0.0000, 0.5000).

The value obtained for the magnetic moment is 0.0 μB per cell. Its crystal system is orthorhombic. For the formation energy, the calculation gives -0.137 eV per atom.



DFT (PBE-GGA) results for a relaxed CuNi4P crystal.

The structure belongs to space group F-43m (No. 216); the cell edges are 6.5874, 6.5874 and 6.5874 Å and the angles 90.00°, 90.00° and 90.00°. The asymmetric unit holds Cu at (0.0000, 0.0000, 0.0000), Ni at (0.1251, 0.1251, 0.6251) and P at (0.2500, 0.2500, 0.2500).

The value obtained for the magnetic moment is 0.0 μB per cell. Its crystal system is cubic. For the formation energy, the calculation gives 0.245 eV per atom.



DFT (PBE-GGA) results for a relaxed Cu2NiP crystal.

The structure belongs to space group R-3m (No. 166, hexagonal axes); the cell edges are 2.6490, 2.6490 and 23.7469 Å and the angles 90.00°, 90.00° and 120.00°. The asymmetric unit holds Cu at (0.0000, 0.0000, 0.2490), Ni at (0.0000, 0.0000, 0.0000) and P at (0.0000, 0.0000, 0.5000).

The value obtained for the magnetic moment is 0.0 μB per cell. Its crystal system is trigonal. For the formation energy, the calculation gives 0.188 eV per atom.



DFT (PBE-GGA) results for a relaxed CuNi2P crystal.

The structure belongs to space group I-42d (No. 122); the cell edges are 6.4242, 6.4242 and 4.8014 Å and the angles 90.00°, 90.00° and 90.00°. The asymmetric unit holds Cu at (0.0000, 0.0000, 0.0000), Ni at (0.2006, 0.2500, 0.6250) and P at (0.0000, 0.0000, 0.5000).

The value obtained for the magnetic moment is 0.0 μB per cell. Its crystal system is tetragonal. For the formation energy, the calculation gives -0.053 eV per atom.



DFT (PBE-GGA) results for a relaxed Cu2NiP crystal.

The structure belongs to space group Cmmm (No. 65); the cell edges are 4.7725, 7.1862 and 2.7819 Å and the angles 90.00°, 90.00° and 90.00°. The asymmetric unit holds Cu at (0.2500, 0.2500, 0.0000), Ni at (0.0000, 0.0000, 0.5000) and P at (0.0000, 0.5000, 0.5000).

The value obtained for the magnetic moment is 0.0 μB per cell. Its crystal system is orthorhombic. For the formation energy, the calculation gives 0.056 eV per atom.



DFT (PBE-GGA) results for a relaxed Cu2NiP6 crystal.

The structure belongs to space group P2_1/c (No. 14); the cell edges are 5.7237, 10.0090 and 5.0126 Å and the angles 90.00°, 103.78° and 90.00°. The asymmetric unit holds Cu at (0.0730, 0.1969, 0.4267), Ni at (0.5000, 0.0000, 0.0000), P at (0.1327, 0.0762, 0.0476), P at (0.3361, 0.6544, 0.1732) and P at (0.4686, 0.1573, 0.6608).

The value obtained for the magnetic moment is 0.0 μB per cell. Its crystal system is monoclinic. For the formation energy, the calculation gives -0.097 eV per atom.